P.
The following is a PBE calculation of a relaxed ZrBi3Sb crystal, from Alexandria.

Geometry as POSCAR:
```
ZrBi3Sb
1.0
-4.6209 3.0454 -1.2015
-2.9094 -4.7729 -0.9085
-1.5012 -0.1241 5.4591
Sb Bi Zr
1 3 1
Direct
0.5000 0.5000 0.5000
0.0000 0.5000 0.0000
0.0000 0.0000 0.5000
0.5000 0.0000 0.0000
0.0000 0.0000 0.0000
```

Output
Crystal system: cubic
Space-group type: Pm-3m, No. 221

=====

Q.
The following is a PBE calculation of a relaxed ZrBi3Sb crystal, from Alexandria.

Geometry as POSCAR:
```
ZrBi3Sb
1.0
-1.9921 4.5944 -2.7459
-4.2459 -3.1404 -2.1741
-3.2589 1.2831 4.5111
Sb Bi Zr
1 3 1
Direct
0.0000 0.0000 0.0000
0.0000 0.5000 0.0000
0.0000 0.0000 0.5000
0.5000 0.0000 0.0000
0.5000 0.5000 0.5000
```

Output
Crystal system: cubic
Space-group type: Pm-3m, No. 221

=====

Stability ranking, top and bottom: P is the most stable and Q is the least stable.